Entry 1:
CaLa4Pr2Y | GGA-PBE | optimized geometry

Cell: 14.1764 13.6835 7.0049 Å, 90.00 119.59 90.00°
Closest atoms and distances in Å follow each position.
Space group C2/c (No. 15)
Inequivalent atoms, fractional coordinates:
Ca: 0.0000 0.0000 0.0000 x4  6 La 3.43-3.70, 2 Ca 3.50
La: 0.0000 0.2502 0.0269 x8  1 La 3.13, 3 Pr 3.42-3.46, 1 Ca 3.43
La: 0.2369 0.4981 0.4837 x8  3 Pr 3.39-3.42, 1 Y 3.45, 2 La 3.50, 2 Ca 3.68-3.70
Pr: 0.0000 0.5000 0.0000 x4  6 La 3.39-3.42, 2 Pr 3.50
Pr: 0.2500 0.2500 0.5000 x4  6 La 3.40-3.46, 2 Y 3.50
Y: 0.2500 0.2500 0.0000 x4  6 La 3.45-3.64, 2 Pr 3.50

- magnetization (Bohr magnetons per cell) = 0.0
- calculated density (kg/m3) = 5433
- DFT total energy (eV/atom) = -4.3936

Entry 2:
K2Cd3SnBi4 | GGA-PBE | optimized geometry

Cell: 5.4513 5.4513 11.7510 Å, 90.00 90.00 90.00°
Closest atoms and distances in Å follow each position.
Space group P-4m2 (No. 115)
Inequivalent atoms, fractional coordinates:
K: 0.0000 0.5000 0.2436 x2  8 Bi 3.95-4.16, 7 Cd 4.06-4.31, 2 Sn 4.06
Cd: 0.0000 0.5000 0.8764 x2  5 Bi 2.98-3.09
Cd: 0.5000 0.5000 0.5000 x1  4 Bi 3.09
Sn: 0.0000 0.0000 0.5000 x1  4 Bi 3.09
Bi: 0.0000 0.0000 0.0000 x1  4 Cd 3.09
Bi: 0.0000 0.5000 0.6231 x2  3 Cd 2.98-3.09, 2 Sn 3.09
Bi: 0.5000 0.5000 0.0000 x1  4 Cd 3.09

- magnetization (Bohr magnetons per cell) = 0.0
- calculated density (kg/m3) = 6515
- DFT total energy (eV/atom) = -2.6187

Entry 3:
CrGeRu2 | GGA-PBE | optimized geometry

Cell: 2.6971 4.1879 10.7878 Å, 90.00 90.00 90.00°
Closest atoms and distances in Å follow each position.
Space group Immm (No. 71)
Inequivalent atoms, fractional coordinates:
Cr: 0.0000 0.0000 0.0000 x2  2 Ru 2.28, 4 Ge 2.49
Ge: 0.0000 0.0000 0.5000 x2  4 Cr 2.49, 2 Ge 2.70
Ru: 0.0000 0.0000 0.2117 x4  1 Cr 2.28

- magnetization (Bohr magnetons per cell) = 0.0
- calculated density (kg/m3) = 8906
- DFT total energy (eV/atom) = -7.7730

Entry 4:
Sr6As2I3N | GGA-PBE | optimized geometry

Cell: 7.6734 13.2815 8.3150 Å, 90.00 107.86 90.00°
Closest atoms and distances in Å follow each position.
Space group C2/m (No. 12)
Inequivalent atoms, fractional coordinates:
Sr: 0.2116 0.1496 0.1860 x8  1 N 2.73
Sr: 0.2374 0.0000 0.8128 x4  1 N 2.74
As: 0.0000 0.3333 0.0000 x4  6 Sr 3.07-3.08
I: 0.0000 0.1684 0.5000 x4  6 Sr 3.48-3.74
I: 0.0000 0.5000 0.5000 x2  6 Sr 3.48-3.75
N: 0.0000 0.0000 0.0000 x2  6 Sr 2.73-2.74

- magnetization (Bohr magnetons per cell) = 0.0
- calculated density (kg/m3) = 4407
- DFT total energy (eV/atom) = -4.0046
- ΔE_f (raw) (eV/atom) = -1.307